The following is a DFT calculation (PBE) of BaPu2Br6 after structural relaxation.

```
BaPu2Br6
1.0
7.500 0.134 2.017
2.328 9.013 3.225
0.740 -0.871 9.785
Pu Br Ba
4 12 2
Cartesian
5.204 2.721 3.726 Pu
1.217 1.176 3.699 Pu
9.352 7.101 11.329 Pu
5.364 5.555 11.302 Pu
6.126 2.685 6.590 Br
9.492 7.890 8.442 Br
4.443 5.592 8.438 Br
3.918 0.051 3.333 Br
2.530 3.579 4.943 Br
2.564 6.069 12.073 Br
1.076 0.387 6.585 Br
8.004 2.207 2.955 Br
8.038 4.697 10.085 Br
4.908 2.625 10.884 Br
6.650 8.226 11.694 Br
5.661 5.652 4.144 Br
3.134 2.392 8.147 Ba
7.434 5.885 6.881 Ba
```

Results
As for the density: 5.5 g/cm³. For the uncorrected formation energy, the calculation gives -1.6472 eV per atom. The calculated volume comes out at 662.3 Å³/cell.



The following is a DFT calculation (PBE) of HfBe4Nb after structural relaxation.

```
HfBe4Nb
1.0
4.695 0.000 0.000
2.347 4.066 0.000
2.347 1.355 3.833
Be Hf Nb
4 1 1
Cartesian
4.695 1.341 2.401 Be
4.695 2.710 0.464 Be
5.880 3.395 2.401 Be
3.509 3.395 2.401 Be
2.347 1.355 0.958 Hf
0.000 0.000 0.000 Nb
```

Results
The formation energy comes out at -0.13 eV per atom. As for the distance to the lowest polymorph of the same formula: 0.0040 eV/atom. As for the density: 7.0 g/cm³. The calculated volume comes out at 73.2 Å³/cell.



The following is a DFT calculation (PBE) of EuScAgPt after structural relaxation.

```
EuScAgPt
1.0
-2.954 -3.134 -2.486
-2.813 -3.263 2.483
-4.936 0.584 0.155
Sc Ag Pt Eu
1 1 1 1
Cartesian
-2.675 -1.453 0.038 Sc
-5.351 -2.907 0.076 Ag
0.000 0.000 0.000 Pt
-8.026 -4.360 0.115 Eu
```

Results
The formation energy comes out at -0.57 eV per atom. As for the density: 9.5 g/cm³. The calculated volume comes out at 86.9 Å³/cell.



The following is a DFT calculation (PBE) of Pm3Dy4Er4 after structural relaxation.

```
Pm3Dy4Er4
1.0
-0.623 3.142 -1.482
-4.955 -5.070 -8.667
-5.285 1.416 9.426
Dy Pm Er
4 3 4
Cartesian
-1.347 0.511 -2.553 Dy
-5.991 -2.338 -2.440 Dy
-4.872 1.826 1.717 Dy
-4.231 -2.439 -7.596 Dy
-2.478 -2.535 -4.334 Pm
-9.090 -0.611 -1.679 Pm
-1.773 0.099 0.956 Pm
-4.356 0.428 -1.465 Er
-6.773 -2.045 -5.692 Er
-4.090 1.533 4.969 Er
-6.507 -0.940 0.742 Er
```

Results
The formation energy comes out at 0.17 eV per atom. As for the distance to the lowest polymorph of the same formula: 0.1157 eV/atom. As for the density: 8.0 g/cm³. The calculated volume comes out at 362.9 Å³/cell.